Tl3TeSe3 | PBE | relaxed

Excess energy over the best structure of this formula in the dataset, eV/atom: 0.020
D(E_F), states/eV per cell: 8.0
Symmetry: P6_3/m

Structure (POSCAR):
```
Tl3TeSe3
1.0
9.4877 0.0000 0.0000
-4.7438 8.2166 0.0000
0.0000 0.0000 6.3810
Tl Te Se
6 2 6
Direct
0.0662 0.3555 0.2500
0.2893 0.9338 0.2500
0.3555 0.2893 0.7500
0.6445 0.7107 0.2500
0.7107 0.0662 0.7500
0.9338 0.6445 0.7500
0.3333 0.6667 0.7500
0.6667 0.3333 0.2500
0.0517 0.3727 0.7500
0.3209 0.9483 0.7500
0.3727 0.3209 0.2500
0.6273 0.6791 0.7500
0.6791 0.0517 0.2500
0.9483 0.6273 0.2500
```

Tl5TeSe5 | PBE | relaxed

D(E_F), states/eV per cell: 4.1
Symmetry: C2/m

Structure (POSCAR):
```
Tl5TeSe5
1.0
7.1362 -3.0215 0.0000
7.1362 3.0215 0.0000
-3.5999 0.0000 7.9321
Tl Te Se
5 1 5
Direct
0.0000 0.0000 0.0000
0.2986 0.2986 0.2052
0.3658 0.3658 0.7281
0.6342 0.6342 0.2719
0.7014 0.7014 0.7948
0.0000 0.0000 0.5000
0.1581 0.1581 0.8275
0.1619 0.1619 0.3917
0.5000 0.5000 0.5000
0.8381 0.8381 0.6083
0.8419 0.8419 0.1725
```

TlTeSe | PBE | relaxed

Excess energy over the best structure of this formula in the dataset, eV/atom: 0.041
D(E_F), states/eV per cell: 8.5
Symmetry: C2/c

Structure (POSCAR):
```
TlTeSe
1.0
9.1920 -3.6375 0.0000
9.1920 3.6375 0.0000
-3.7532 0.0000 9.6668
Tl Te Se
6 6 6
Direct
0.0676 0.5977 0.3758
0.2260 0.7740 0.7500
0.4023 0.9324 0.1242
0.5977 0.0676 0.8758
0.7740 0.2260 0.2500
0.9324 0.4023 0.6242
0.0000 0.5000 0.0000
0.2210 0.6430 0.1161
0.3570 0.7790 0.3839
0.5000 0.0000 0.5000
0.6430 0.2210 0.6161
0.7790 0.3570 0.8839
0.0000 0.0000 0.0000
0.0000 0.0000 0.5000
0.2875 0.3850 0.6660
0.3850 0.2875 0.1660
0.6150 0.7125 0.8340
0.7125 0.6150 0.3340
```

Tl2Te4Se5 | PBE | relaxed

D(E_F), states/eV per cell: 4.6
Symmetry: C2/m

Structure (POSCAR):
```
Tl2Te4Se5
1.0
8.6993 -2.5920 0.0000
8.6993 2.5920 0.0000
-3.9733 0.0000 9.0094
Tl Te Se
2 4 5
Direct
0.2336 0.2336 0.3412
0.7664 0.7664 0.6588
0.0989 0.0989 0.5628
0.2250 0.2250 0.8475
0.7750 0.7750 0.1525
0.9011 0.9011 0.4372
0.1891 0.6520 0.9585
0.3480 0.8109 0.0415
0.5000 0.5000 0.5000
0.6520 0.1891 0.9585
0.8109 0.3480 0.0415
```

no.,uncorrected formation energy (eV per atom)
1,-0.187
2,-0.227
3,-0.128
4,0.090